VASP calculation (GGA-PBE) on a geometry-optimized Cs12Hg5As3 structure.

Output
* energy relative to the elements: -0.107 eV/atom
* V: 10171.6 Å³ per cell
* DOS at the Fermi energy: 15.17 states/eV/f.u.

Cell: 21.667 21.667 21.667 Å, 90.00 90.00 90.00°
Space group Ia-3d (No. 230)
Symmetry-distinct sites (fractional):
Cs 0.017 0.085 0.653 x96
Hg 0.000 0.000 0.000 x16
Hg 0.000 0.250 0.375 x24
As 0.000 0.250 0.125 x24